1.
Computed, not measured: a relaxed structure of CoCuH2 at the PBE level of DFT.

**E_tot**: -52.37 eV for the cell shown
**Energy relative to the lowest polymorph listed for this composition**: 27 meV/atom

abc: 2.6154 2.6154 14.3542
angles: 90.00 90.00 120.00
Space group R3m (No. 160, hexagonal axes)
One atom of each set of equivalent atoms:
Co1 0.0000 0.0000 0.0000 [3 per cell]
Cu1 0.0000 0.0000 0.8231 [3 per cell]
H1 0.0000 0.0000 0.3908 [3 per cell]
H2 0.0000 0.0000 0.6077 [3 per cell]

=====

2.
Computed, not measured: a relaxed structure of Co2CuH at the PBE level of DFT.

**E_tot**: -81.97 eV for the cell shown
**Energy relative to the lowest polymorph listed for this composition**: 223 meV/atom

abc: 5.450 5.450 5.111
angles: 90.00 90.00 90.00
Space group I-42d (No. 122)
One atom of each set of equivalent atoms:
Co1 0.139 0.250 0.125 [8 per cell]
Cu1 0.000 0.000 0.500 [4 per cell]
H1 0.000 0.000 0.000 [4 per cell]

=====

3.
Computed, not measured: a relaxed structure of CoCu2H5 at the PBE level of DFT.

**E_tot**: -62.29 eV for the cell shown

abc: 6.272 7.244 2.985
angles: 90.00 118.26 90.00
Space group Cm (No. 8)
One atom of each set of equivalent atoms:
Co1 0.000 0.000 0.000 [2 per cell]
Cu1 0.163 0.263 0.663 [4 per cell]
H1 0.118 0.000 0.617 [2 per cell]
H2 0.199 0.500 0.698 [2 per cell]
H3 0.272 0.000 0.270 [2 per cell]
H4 0.490 0.276 0.990 [4 per cell]

=====

4.
Computed, not measured: a relaxed structure of CoCu2H2 at the PBE level of DFT.

**E_tot**: -42.39 eV for the cell shown
**Energy relative to the lowest polymorph listed for this composition**: 0 meV/atom

abc: 4.841 4.841 3.654
angles: 90.00 90.00 90.00
Space group P4/mbm (No. 127)
One atom of each set of equivalent atoms:
Co1 0.000 0.000 0.000 [2 per cell]
Cu1 0.193 0.307 0.500 [4 per cell]
H1 0.217 0.283 0.000 [4 per cell]

=====

5.
Computed, not measured: a relaxed structure of Co2CuH at the PBE level of DFT.

**E_tot**: -64.08 eV for the cell shown
**Energy relative to the lowest polymorph listed for this composition**: 5 meV/atom

abc: 2.5632 2.5632 18.8669
angles: 90.00 90.00 120.00
Space group R3m (No. 160, hexagonal axes)
One atom of each set of equivalent atoms:
Co1 0.0000 0.0000 0.0000 [3 per cell]
Co2 0.0000 0.0000 0.2226 [3 per cell]
Cu1 0.0000 0.0000 0.7779 [3 per cell]
H1 0.0000 0.0000 0.6113 [3 per cell]

=====

6.
Computed, not measured: a relaxed structure of CoCuH2 at the PBE level of DFT.

**E_tot**: -63.41 eV for the cell shown
**Energy relative to the lowest polymorph listed for this composition**: 428 meV/atom

abc: 4.852 4.852 4.852
angles: 90.00 90.00 90.00
Space group Fm-3m (No. 225)
One atom of each set of equivalent atoms:
Co1 0.000 0.000 0.000 [4 per cell]
Cu1 0.000 0.000 0.500 [4 per cell]
H1 0.250 0.250 0.250 [8 per cell]

=====

7.
Computed, not measured: a relaxed structure of Co2CuH at the PBE level of DFT.

**E_tot**: -75.72 eV for the cell shown
**Energy relative to the lowest polymorph listed for this composition**: 613 meV/atom

abc: 5.406 5.406 5.406
angles: 90.00 90.00 90.00
Space group Fm-3m (No. 225)
One atom of each set of equivalent atoms:
Co1 0.250 0.250 0.250 [8 per cell]
Cu1 0.000 0.000 0.000 [4 per cell]
H1 0.000 0.000 0.500 [4 per cell]

=====

8.
Computed, not measured: a relaxed structure of CoCu2H2 at the PBE level of DFT.

**E_tot**: -40.04 eV for the cell shown
**Energy relative to the lowest polymorph listed for this composition**: 235 meV/atom

abc: 3.148 3.148 8.412
angles: 90.00 90.00 90.00
Space group I4/mmm (No. 139)
One atom of each set of equivalent atoms:
Co1 0.000 0.000 0.000 [2 per cell]
Cu1 0.000 0.000 0.346 [4 per cell]
H1 0.000 0.500 0.250 [4 per cell]

=====

9.
Computed, not measured: a relaxed structure of Hf2CoCuH at the PBE level of DFT.

**E_tot**: -35.74 eV for the cell shown

abc: 4.482 4.482 3.356
angles: 90.00 90.00 90.00
Space group P4/mmm (No. 123)
One atom of each set of equivalent atoms:
Hf1 0.000 0.500 0.000 [2 per cell]
Co1 0.000 0.000 0.500 [1 per cell]
Cu1 0.500 0.500 0.500 [1 per cell]
H1 0.000 0.000 0.000 [1 per cell]

=====

10.
Computed, not measured: a relaxed structure of Co2CuHgH at the PBE level of DFT.

**E_tot**: -20.59 eV for the cell shown

abc: 3.743 3.743 4.019
angles: 90.00 90.00 90.00
Space group P4/mmm (No. 123)
One atom of each set of equivalent atoms:
Co1 0.000 0.500 0.000 [2 per cell]
Cu1 0.000 0.000 0.500 [1 per cell]
Hg1 0.500 0.500 0.500 [1 per cell]
H1 0.000 0.000 0.000 [1 per cell]

=====

11.
Computed, not measured: a relaxed structure of InCoCuH2 at the PBE level of DFT.

**E_tot**: -16.34 eV for the cell shown

abc: 3.588 3.588 5.673
angles: 90.00 90.00 90.00
Space group P4/mmm (No. 123)
One atom of each set of equivalent atoms:
In1 0.000 0.000 0.000 [1 per cell]
Co1 0.500 0.500 0.500 [1 per cell]
Cu1 0.000 0.000 0.500 [1 per cell]
H1 0.000 0.500 0.000 [2 per cell]

=====

12.
Computed, not measured: a relaxed structure of InCoCu2H at the PBE level of DFT.

**E_tot**: -20.93 eV for the cell shown

abc: 3.887 3.887 3.755
angles: 90.00 90.00 90.00
Space group P4/mmm (No. 123)
One atom of each set of equivalent atoms:
In1 0.000 0.000 0.000 [1 per cell]
Co1 0.500 0.500 0.000 [1 per cell]
Cu1 0.000 0.500 0.500 [2 per cell]
H1 0.500 0.500 0.500 [1 per cell]

=====

13.
Computed, not measured: a relaxed structure of KCoCuH6 at the PBE level of DFT.

**E_tot**: -32.67 eV for the cell shown

abc: 4.5263 4.5263 5.2669
angles: 90.00 90.00 120.00
Space group P312 (No. 149)
One atom of each set of equivalent atoms:
K1 0.0000 0.0000 0.0000 [1 per cell]
Co1 0.6667 0.3333 0.5000 [1 per cell]
Cu1 0.3333 0.6667 0.5000 [1 per cell]
H1 0.5112 0.0297 0.6908 [6 per cell]

=====

14.
Computed, not measured: a relaxed structure of LaCoCuH6 at the PBE level of DFT.

**E_tot**: -39.36 eV for the cell shown

abc: 4.5110 4.5110 4.3561
angles: 90.00 90.00 120.00
Space group P-6m2 (No. 187)
One atom of each set of equivalent atoms:
La1 0.0000 0.0000 0.0000 [1 per cell]
Co1 0.6667 0.3333 0.5000 [1 per cell]
Cu1 0.3333 0.6667 0.5000 [1 per cell]
H1 0.5118 0.0236 0.2591 [6 per cell]

=====

15.
Computed, not measured: a relaxed structure of La2CoCuH6 at the PBE level of DFT.

**E_tot**: -90.15 eV for the cell shown

abc: 7.425 7.481 5.250
angles: 90.00 134.76 90.00
Space group C2/m (No. 12)
One atom of each set of equivalent atoms:
La1 0.000 0.250 0.000 [4 per cell]
Co1 0.000 0.000 0.500 [2 per cell]
Cu1 0.000 0.500 0.500 [2 per cell]
H1 0.000 0.225 0.500 [4 per cell]
H2 0.225 0.000 0.498 [4 per cell]
H3 0.225 0.000 0.951 [4 per cell]

=====

16.
Computed, not measured: a relaxed structure of LaCoCu2H at the PBE level of DFT.

**E_tot**: -17.89 eV for the cell shown

abc: 5.227 5.227 3.984
angles: 90.00 90.00 90.00
Space group P4/mmm (No. 123)
One atom of each set of equivalent atoms:
La1 0.000 0.000 0.000 [1 per cell]
Co1 0.500 0.500 0.500 [1 per cell]
Cu1 0.000 0.500 0.000 [2 per cell]
H1 0.000 0.000 0.500 [1 per cell]

=====

17.
Computed, not measured: a relaxed structure of LaCoCu2H8 at the PBE level of DFT.

**E_tot**: -49.71 eV for the cell shown

abc: 4.520 4.600 4.900
angles: 94.34 91.68 90.17
Space group P-1 (No. 2)
One atom of each set of equivalent atoms:
La1 0.000 0.000 0.000 [1 per cell]
Co1 0.000 0.500 0.500 [1 per cell]
Cu1 0.497 0.466 0.750 [2 per cell]
H1 0.107 0.506 0.200 [2 per cell]
H2 0.199 0.232 0.554 [2 per cell]
H3 0.257 0.722 0.585 [2 per cell]
H4 0.499 0.225 0.988 [2 per cell]

=====

18.
Computed, not measured: a relaxed structure of Li2CoCuH6 at the PBE level of DFT.

**E_tot**: -74.16 eV for the cell shown

abc: 4.645 4.645 6.561
angles: 90.00 90.00 90.00
Space group I4/mmm (No. 139)
One atom of each set of equivalent atoms:
Li1 0.000 0.500 0.250 [4 per cell]
Co1 0.000 0.000 0.000 [2 per cell]
Cu1 0.000 0.000 0.500 [2 per cell]
H1 0.000 0.000 0.238 [4 per cell]
H2 0.238 0.238 0.000 [8 per cell]

=====

19.
Computed, not measured: a relaxed structure of Li2CoCuH at the PBE level of DFT.

**E_tot**: -18.31 eV for the cell shown

abc: 3.715 3.715 3.551
angles: 90.00 90.00 90.00
Space group P4/mmm (No. 123)
One atom of each set of equivalent atoms:
Li1 0.000 0.500 0.000 [2 per cell]
Co1 0.000 0.000 0.500 [1 per cell]
Cu1 0.500 0.500 0.500 [1 per cell]
H1 0.000 0.000 0.000 [1 per cell]

=====

20.
Computed, not measured: a relaxed structure of LiCoCu2H at the PBE level of DFT.

**E_tot**: -14.41 eV for the cell shown

abc: 4.441 4.441 4.785
angles: 90.00 90.00 90.00
Space group P4/mmm (No. 123)
One atom of each set of equivalent atoms:
Li1 0.000 0.000 0.000 [1 per cell]
Co1 0.000 0.000 0.500 [1 per cell]
Cu1 0.000 0.500 0.500 [2 per cell]
H1 0.500 0.500 0.000 [1 per cell]